Entry from the Alexandria database: a relaxed LaV2O6 crystal (GGA+U).

## Properties
uncorrected energy = -282.58 eV/cell

Unit cell a=11.086 b=10.441 c=6.014 alpha=90.00 beta=108.88 gamma=90.00
Space group C2/c (No. 15)
Unique sites:
La: 0.000 0.124 0.250 [4 per cell]
V: 0.208 0.421 0.237 [8 per cell]
O: 0.124 0.065 0.651 [8 per cell]
O: 0.149 0.266 0.206 [8 per cell]
O: 0.153 0.499 0.454 [8 per cell]